Entry from the Alexandria database: Be2CrW after structural relaxation (GGA-PBE).

a b c (Å): 4.601 4.601 4.241
angles (deg): 106.79 106.79 31.60
Sites, in units of the cell vectors:
Be1 0.000 0.000 0.000
Be2 0.695 0.695 0.289
Cr1 0.250 0.250 0.823
W1 0.451 0.451 0.474

Output
total magnetization = 0.00 μB per cell
ΔE to the lowest computed polymorph = 235 meV per atom
formation energy from the elements = 16 kJ/mol of atoms

=====

Entry from the Alexandria database: YTl2 after structural relaxation (GGA-PBE).

a b c (Å): 5.679 5.679 5.679
angles (deg): 141.41 130.00 64.88
Sites, in units of the cell vectors:
Y1 0.000 0.000 0.000
Tl1 0.335 0.335 0.000
Tl2 0.665 0.665 0.000

Output
total magnetization = 0.00 μB per cell
formation energy from the elements = -11 kJ/mol of atoms

=====

Entry from the Alexandria database: LaAgSb2Mo after structural relaxation (GGA-PBE).

a b c (Å): 5.228 5.228 5.427
angles (deg): 90.00 90.00 90.00
Sites, in units of the cell vectors:
La1 0.000 0.000 0.000
Ag1 0.500 0.500 0.000
Sb1 0.000 0.500 0.500
Sb2 0.500 0.000 0.500
Mo1 0.000 0.000 0.500

Output
total magnetization = 0.00 μB per cell
E_form (uncorrected) = 0.163 eV/atom

=====

Entry from the Alexandria database: HfRe2N after structural relaxation (GGA-PBE).

a b c (Å): 5.485 5.485 5.485
angles (deg): 100.63 100.63 129.12
Sites, in units of the cell vectors:
Hf1 0.000 0.000 0.000
Hf2 0.750 0.250 0.500
Re1 0.238 0.625 0.113
Re2 0.375 0.488 0.613
Re3 0.512 0.125 0.887
Re4 0.875 0.762 0.387
N1 0.250 0.750 0.500
N2 0.500 0.500 0.000

Output
total magnetization = 0.00 μB per cell
E_form (uncorrected) = -0.008 eV/atom

=====

Entry from the Alexandria database: ScSnTe after structural relaxation (GGA-PBE).

a b c (Å): 5.930 4.019 4.019
angles (deg): 90.00 90.00 90.00
Sites, in units of the cell vectors:
Sc1 0.000 0.000 0.000
Sn1 0.500 0.001 0.001
Te1 0.000 0.500 0.500

Output
total magnetization = 0.00 μB per cell
E_form (uncorrected) = -0.369 eV/atom

=====

Entry from the Alexandria database: Nd2Pu2Pt15 after structural relaxation (GGA-PBE).

a b c (Å): 7.116 7.116 7.116
angles (deg): 82.53 82.53 82.53
Sites, in units of the cell vectors:
Nd1 0.145 0.145 0.145
Nd2 0.855 0.855 0.855
Pu1 0.402 0.402 0.402
Pu2 0.598 0.598 0.598
Pt1 0.000 0.500 0.500
Pt2 0.154 0.154 0.662
Pt3 0.154 0.662 0.154
Pt4 0.184 0.500 0.816
Pt5 0.184 0.816 0.500
Pt6 0.338 0.846 0.846
Pt7 0.500 0.000 0.500
Pt8 0.500 0.184 0.816
Pt9 0.500 0.500 0.000
Pt10 0.500 0.816 0.184
Pt11 0.662 0.154 0.154
Pt12 0.816 0.184 0.500
Pt13 0.816 0.500 0.184
Pt14 0.846 0.338 0.846
Pt15 0.846 0.846 0.338

Output
total magnetization = 9.86 μB per cell
formation energy from the elements = -61 kJ/mol of atoms

=====

Number 1: uncorrected energy -0.540 Ry per atom. Number 2: uncorrected energy -0.283 Ry per atom. Number 3: uncorrected energy -0.383 Ry per atom. Number 4: uncorrected energy -0.794 Ry per atom. Number 5: uncorrected energy -0.357 Ry per atom. Number 6: uncorrected energy -0.544 Ry per atom.